Model P:
AgB2: optimized geometry, PBE-GGA.

Values from the calculation:
crystal system = hexagonal
space group = P6/mmm, No. 191
density = 6694 kg/m3

a = 3.0156 Å, b = 3.0156 Å, c = 4.0791 Å
α = 90.00°, β = 90.00°, γ = 120.00°
Closest atoms and distances in Å follow each position.
Positions (direct):
Ag 0.0000 0.0000 0.0000  12 B 2.68
B 0.3333 0.6667 0.5000  3 B 1.74
B 0.6667 0.3333 0.5000  3 B 1.74

=====

Model Q:
AgB2: optimized geometry, PBE-GGA.

Values from the calculation:
crystal system = cubic
space group = Fd-3m, No. 227
density = 2049 kg/m3

a = 6.6710 Å, b = 6.6710 Å, c = 6.6710 Å
α = 60.00°, β = 60.00°, γ = 60.00°
Closest atoms and distances in Å follow each position.
Positions (direct):
Ag 0.1250 0.1250 0.1250  4 B 2.04
Ag 0.8750 0.8750 0.8750  4 B 2.04
B 0.0000 0.0000 0.0000  2 Ag 2.04
B 0.0000 0.0000 0.5000  2 Ag 2.04
B 0.0000 0.5000 0.0000  2 Ag 2.04
B 0.5000 0.0000 0.0000  2 Ag 2.04

=====

Which structure loses on stability? model Q does.

=====

Model P:
LiLaHfPt: optimized geometry, PBE-GGA.

Values from the calculation:
crystal system = cubic
space group = F-43m, No. 216
density = 10745 kg/m3

a = 4.8420 Å, b = 4.8420 Å, c = 4.8420 Å
α = 60.00°, β = 60.00°, γ = 60.00°
Closest atoms and distances in Å follow each position.
Positions (direct):
Li 0.0000 0.0000 0.0000  4 Hf 2.97, 4 Pt 2.97
La 0.5000 0.5000 0.5000  4 Hf 2.97, 4 Pt 2.97
Hf 0.7500 0.7500 0.7500  4 La 2.97, 4 Li 2.97
Pt 0.2500 0.2500 0.2500  4 La 2.97, 4 Li 2.97

=====

Model Q:
LiLaHfPt: optimized geometry, PBE-GGA.

Values from the calculation:
crystal system = cubic
space group = F-43m, No. 216
density = 11074 kg/m3

a = 4.7936 Å, b = 4.7936 Å, c = 4.7936 Å
α = 60.00°, β = 60.00°, γ = 60.00°
Closest atoms and distances in Å follow each position.
Positions (direct):
Li 0.0000 0.0000 0.0000  4 La 2.94, 4 Pt 2.94
La 0.7500 0.7500 0.7500  4 Hf 2.94, 4 Li 2.94
Hf 0.5000 0.5000 0.5000  4 La 2.94, 4 Pt 2.94
Pt 0.2500 0.2500 0.2500  4 Hf 2.94, 4 Li 2.94

=====

Which structure loses on stability? model P does.